The following is a GGA-PBE calculation of a relaxed CeTh5Ge6 crystal, from the Alexandria database.

Cell: 7.4337 7.4311 7.4313 Å, 60.00 80.40 70.52°
With the nearest neighbours (Å) after each atom.
Fractional positions:
Ge  0.7527  0.0824  0.3292  1 Ce 3.00, 5 Th 3.03-3.06
Ge  0.2473  0.5884  0.3292  1 Ce 3.00, 5 Th 3.03-3.06
Ge  0.2479  0.2464  0.0000  1 Ce 3.00, 5 Th 3.04-3.07
Ge  0.7521  0.7536  0.0000  1 Ce 3.00, 5 Th 3.04-3.07
Ge  0.7527  0.4116  0.6708  1 Ce 3.00, 5 Th 3.03-3.06
Ge  0.2473  0.9176  0.6708  1 Ce 3.00, 5 Th 3.03-3.06
Th  0.5000  0.1675  0.6650  6 Ge 3.03-3.06
Th  0.0000  0.3336  0.3328  6 Ge 3.04
Th  0.5000  0.5000  0.0000  6 Ge 3.03-3.07
Th  0.0000  0.6664  0.6672  6 Ge 3.04
Th  0.5000  0.8325  0.3350  6 Ge 3.03-3.06
Ce  0.0000  0.0000  0.0000  6 Ge 3.00

Summary:
**Formation energy from the elements**: -0.753 eV per atom
**Total DFT energy (no corrections)**: -79.77 eV per cell
**Spin magnetization**: 0.10 μB per formula unit
**SG**: C2/m (12)

=====

The following is a GGA-PBE calculation of a relaxed Ce2ThGe crystal, from the Alexandria database.

Cell: 3.8810 3.8810 7.1016 Å, 90.00 90.00 90.00°
With the nearest neighbours (Å) after each atom.
Fractional positions:
Ge  0.5000  0.5000  0.0000  8 Ce 3.09
Ce  0.0000  0.0000  0.8009  1 Ce 2.83, 4 Ge 3.09
Ce  0.0000  0.0000  0.1991  1 Ce 2.83, 4 Ge 3.09
Th  0.5000  0.5000  0.5000  8 Ce 3.48, 2 Ge 3.55, 4 Th 3.88

Summary:
**Formation energy from the elements**: -0.341 eV per atom
**Total DFT energy (no corrections)**: -25.27 eV per cell
**Spin magnetization**: 1.08 μB per formula unit
**SG**: P4/mmm (123)

=====

The following is a GGA-PBE calculation of a relaxed Ce2Th2ZnGe4 crystal, from the Alexandria database.

Cell: 6.5871 6.5871 6.5871 Å, 99.50 114.67 114.67°
With the nearest neighbours (Å) after each atom.
Fractional positions:
Ce  0.0000  0.6754  0.6754  1 Zn 2.76, 1 Ce 2.99, 4 Ge 2.99
Ce  0.0000  0.3246  0.3246  1 Zn 2.76, 1 Ce 2.99, 4 Ge 2.99
Th  0.5000  0.7500  0.2500  8 Ge 3.29, 4 Ce 3.61
Th  0.5000  0.2500  0.7500  8 Ge 3.29, 4 Ce 3.61
Zn  0.0000  0.0000  0.0000  4 Ge 2.43
Ge  0.0000  0.7580  0.2420  1 Zn 2.43
Ge  0.5160  0.7580  0.7580  1 Zn 2.43
Ge  0.0000  0.2420  0.7580  1 Zn 2.43
Ge  0.4840  0.2420  0.2420  1 Zn 2.43

Summary:
**Formation energy from the elements**: -0.265 eV per atom
**Total DFT energy (no corrections)**: -48.84 eV per cell
**Spin magnetization**: 2.62 μB per formula unit
**SG**: I4/mmm (139)